! Rb2AgTe3 GGA-PBE optimized geometry; values from VASP
&SYSTEM
  ibrav = 0, nat = 24, ntyp = 3
/
ATOMIC_SPECIES
Rb 85.47 Rb.upf
Ag 107.87 Ag.upf
Te 127.60 Te.upf
CELL_PARAMETERS angstrom
8.470 0.000 0.000
0.000 4.445 0.000
0.000 0.000 25.659
ATOMIC_POSITIONS crystal
Rb 0.157 0.250 0.071
Rb 0.237 0.750 0.807
Rb 0.263 0.250 0.307
Rb 0.343 0.750 0.571
Rb 0.657 0.250 0.429
Rb 0.737 0.750 0.693
Rb 0.763 0.250 0.193
Rb 0.843 0.750 0.929
Ag 0.022 0.750 0.464
Ag 0.478 0.250 0.964
Ag 0.522 0.750 0.036
Ag 0.978 0.250 0.536
Te 0.073 0.250 0.644
Te 0.142 0.750 0.196
Te 0.224 0.250 0.456
Te 0.276 0.750 0.956
Te 0.358 0.250 0.696
Te 0.427 0.750 0.144
Te 0.573 0.250 0.856
Te 0.642 0.750 0.304
Te 0.724 0.250 0.044
Te 0.776 0.750 0.544
Te 0.858 0.250 0.804
Te 0.927 0.750 0.356
! Size of the total moment   0.00 μB per formula unit
! Calculated density   4.549 g cm⁻³
! Energy above the lowest structure with this stoichiometry   0 meV/atom
! Fermi-level density of states   13.8 states/eV/cell
! Energy relative to the elements, uncorrected   -555 meV per atom


! Rb2AgTe3 GGA-PBE optimized geometry; values from VASP
&SYSTEM
  ibrav = 0, nat = 12, ntyp = 3
/
ATOMIC_SPECIES
Rb 85.47 Rb.upf
Ag 107.87 Ag.upf
Te 127.60 Te.upf
CELL_PARAMETERS angstrom
7.796 0.000 0.000
-3.898 6.752 0.000
0.000 0.000 12.836
ATOMIC_POSITIONS crystal
Rb 0.000 0.000 0.000
Rb 0.000 0.000 0.500
Rb 0.333 0.667 0.251
Rb 0.667 0.333 0.749
Ag 0.333 0.667 0.709
Ag 0.667 0.333 0.291
Te 0.140 0.281 0.750
Te 0.140 0.860 0.750
Te 0.281 0.140 0.250
Te 0.719 0.860 0.750
Te 0.860 0.140 0.250
Te 0.860 0.719 0.250
! Size of the total moment   0.00 μB per formula unit
! Calculated density   3.252 g cm⁻³
! Energy above the lowest structure with this stoichiometry   169 meV/atom
! Fermi-level density of states   6.3 states/eV/cell
! Energy relative to the elements, uncorrected   -386 meV per atom


! Rb3Th3AgTe8 GGA-PBE optimized geometry; values from VASP
&SYSTEM
  ibrav = 0, nat = 15, ntyp = 4
/
ATOMIC_SPECIES
Rb 85.47 Rb.upf
Th 232.04 Th.upf
Ag 107.87 Ag.upf
Te 127.60 Te.upf
CELL_PARAMETERS angstrom
7.919 -4.577 0.000
7.919 4.577 0.000
-5.274 0.000 8.656
ATOMIC_POSITIONS crystal
Rb 0.000 0.000 0.000
Rb 0.000 0.500 0.000
Rb 0.500 0.000 0.000
Th 0.000 0.500 0.500
Th 0.500 0.000 0.500
Th 0.500 0.500 0.500
Ag 0.000 0.000 0.500
Te 0.236 0.236 0.697
Te 0.236 0.725 0.697
Te 0.264 0.264 0.291
Te 0.275 0.764 0.303
Te 0.725 0.236 0.697
Te 0.736 0.736 0.709
Te 0.764 0.275 0.303
Te 0.764 0.764 0.303
! Size of the total moment   0.00 μB per formula unit
! Calculated density   5.508 g cm⁻³
! Energy relative to the elements, uncorrected   -1052 meV per atom


! RbThAg2Te4 GGA-PBE optimized geometry; values from VASP
&SYSTEM
  ibrav = 0, nat = 8, ntyp = 4
/
ATOMIC_SPECIES
Rb 85.47 Rb.upf
Th 232.04 Th.upf
Ag 107.87 Ag.upf
Te 127.60 Te.upf
CELL_PARAMETERS angstrom
-3.584 4.256 4.598
3.584 -4.256 4.598
3.584 4.256 -4.598
ATOMIC_POSITIONS crystal
Rb 0.000 0.000 0.000
Th 0.500 0.500 0.000
Ag 0.341 0.841 0.500
Ag 0.659 0.159 0.500
Te 0.083 0.082 0.563
Te 0.481 0.918 0.001
Te 0.519 0.520 0.437
Te 0.917 0.480 0.999
! Size of the total moment   0.00 μB per formula unit
! Calculated density   6.177 g cm⁻³
! Fermi-level density of states   4.5 states/eV/cell
! Energy relative to the elements, uncorrected   -522 meV per atom


! Rb4Th3AgTe8 GGA-PBE optimized geometry; values from VASP
&SYSTEM
  ibrav = 0, nat = 16, ntyp = 4
/
ATOMIC_SPECIES
Rb 85.47 Rb.upf
Th 232.04 Th.upf
Ag 107.87 Ag.upf
Te 127.60 Te.upf
CELL_PARAMETERS angstrom
7.971 -4.596 0.000
7.971 4.596 0.000
-5.317 0.000 8.557
ATOMIC_POSITIONS crystal
Rb 0.000 0.000 0.000
Rb 0.000 0.500 0.000
Rb 0.500 0.000 0.000
Rb 0.500 0.500 0.000
Th 0.000 0.000 0.500
Th 0.000 0.500 0.500
Th 0.500 0.000 0.500
Ag 0.500 0.500 0.500
Te 0.231 0.734 0.700
Te 0.236 0.236 0.709
Te 0.265 0.265 0.299
Te 0.266 0.769 0.300
Te 0.734 0.231 0.700
Te 0.735 0.735 0.701
Te 0.764 0.764 0.291
Te 0.769 0.266 0.300
! Size of the total moment   0.00 μB per formula unit
! Calculated density   5.739 g cm⁻³
! Fermi-level density of states   6.7 states/eV/cell
! Energy relative to the elements, uncorrected   -1065 meV per atom


! Rb2Th2AgTe6 GGA-PBE optimized geometry; values from VASP
&SYSTEM
  ibrav = 0, nat = 11, ntyp = 4
/
ATOMIC_SPECIES
Rb 85.47 Rb.upf
Th 232.04 Th.upf
Ag 107.87 Ag.upf
Te 127.60 Te.upf
CELL_PARAMETERS angstrom
3.855 -6.832 0.000
3.855 6.832 0.000
-2.518 0.000 8.849
ATOMIC_POSITIONS crystal
Rb 0.162 0.838 0.000
Rb 0.838 0.162 0.000
Th 0.331 0.669 0.500
Th 0.669 0.331 0.500
Ag 0.000 0.000 0.500
Te 0.070 0.409 0.704
Te 0.248 0.248 0.317
Te 0.409 0.070 0.704
Te 0.591 0.930 0.296
Te 0.752 0.752 0.683
Te 0.930 0.591 0.296
! Size of the total moment   0.00 μB per formula unit
! Calculated density   5.374 g cm⁻³
! Fermi-level density of states   8.4 states/eV/cell
! Energy relative to the elements, uncorrected   -934 meV per atom


! RbTlAgTe2 GGA-PBE optimized geometry; values from VASP
&SYSTEM
  ibrav = 0, nat = 10, ntyp = 4
/
ATOMIC_SPECIES
Rb 85.47 Rb.upf
Tl 204.38 Tl.upf
Ag 107.87 Ag.upf
Te 127.60 Te.upf
CELL_PARAMETERS angstrom
3.612 -7.615 0.000
3.612 7.615 0.000
0.000 0.000 6.880
ATOMIC_POSITIONS crystal
Rb 0.250 0.750 0.755
Rb 0.750 0.250 0.245
Tl 0.250 0.250 0.500
Tl 0.750 0.750 0.500
Ag 0.000 0.000 0.000
Ag 0.500 0.500 0.000
Te 0.132 0.868 0.256
Te 0.368 0.632 0.256
Te 0.632 0.368 0.744
Te 0.868 0.132 0.744
! Size of the total moment   0.00 μB per formula unit
! Calculated density   5.730 g cm⁻³
! Energy above the lowest structure with this stoichiometry   0 meV/atom
! Fermi-level density of states   3.4 states/eV/cell
! Energy relative to the elements, uncorrected   -408 meV per atom


! RbTlAgTe2 GGA-PBE optimized geometry; values from VASP
&SYSTEM
  ibrav = 0, nat = 5, ntyp = 4
/
ATOMIC_SPECIES
Rb 85.47 Rb.upf
Tl 204.38 Tl.upf
Ag 107.87 Ag.upf
Te 127.60 Te.upf
CELL_PARAMETERS angstrom
5.742 0.000 0.000
0.000 5.742 0.000
0.000 0.000 5.562
ATOMIC_POSITIONS crystal
Rb 0.000 0.000 0.000
Tl 0.500 0.500 0.000
Ag 0.500 0.500 0.500
Te 0.000 0.500 0.500
Te 0.500 0.000 0.500
! Size of the total moment   0.00 μB per formula unit
! Calculated density   5.912 g cm⁻³
! Energy above the lowest structure with this stoichiometry   149 meV/atom
! Fermi-level density of states   2.6 states/eV/cell
! Energy relative to the elements, uncorrected   -259 meV per atom